1.
Computed, not measured: Tl2GaSnBr5 after structural relaxation at the PBE-GGA level of DFT.

Results
Total moment   0.00 μB per formula unit
Energy relative to the elements, uncorrected   -6.7 eV per formula unit
Density of states at the Fermi level   0.000 states/eV/atom

a = 4.4662 Å, b = 9.7370 Å, c = 16.2613 Å
α = 90.00°, β = 90.00°, γ = 103.26°
Fractional coordinates of all 18 atoms:
Br1 0.9175 0.8350 0.5674
Br2 0.5136 0.0271 0.2731
Br3 0.0825 0.1650 0.0674
Br4 0.3948 0.7896 0.0083
Br5 0.2531 0.5062 0.6604
Br6 0.4864 0.9729 0.7731
Br7 0.2810 0.5619 0.4085
Br8 0.6052 0.2104 0.5083
Br9 0.7190 0.4381 0.9085
Br10 0.7469 0.4938 0.1604
Ga1 0.5448 0.0895 0.9500
Ga2 0.4552 0.9105 0.4500
Sn1 0.2409 0.4818 0.0290
Sn2 0.7591 0.5182 0.5290
Tl1 0.0733 0.1465 0.6602
Tl2 0.9267 0.8535 0.1602
Tl3 0.8612 0.7225 0.7670
Tl4 0.1388 0.2775 0.2670

***

2.
Computed, not measured: GaSn2WBr after structural relaxation at the PBE-GGA level of DFT.

Results
Total moment   0.00 μB per formula unit
Energy relative to the elements, uncorrected   7.6 eV per formula unit
Density of states at the Fermi level   1.449 states/eV/atom

a = 5.2016 Å, b = 4.9452 Å, c = 5.2016 Å
α = 90.00°, β = 90.00°, γ = 90.00°
Fractional coordinates of all 5 atoms:
W1 0.5000 0.5000 0.5000
Sn1 0.5000 0.0000 0.0000
Sn2 0.0000 0.0000 0.5000
Ga1 0.0000 0.0000 0.0000
Br1 0.0000 0.5000 0.0000

***

3.
Computed, not measured: YGaSn2Br after structural relaxation at the PBE-GGA level of DFT.

Results
Total moment   1.39 μB per formula unit
Energy relative to the elements, uncorrected   2.2 eV per formula unit
Density of states at the Fermi level   1.357 states/eV/atom

a = 5.9546 Å, b = 5.7571 Å, c = 5.9546 Å
α = 90.00°, β = 90.00°, γ = 90.00°
Fractional coordinates of all 5 atoms:
Br1 0.5000 0.5000 0.5000
Y1 0.0000 0.0000 0.0000
Ga1 0.0000 0.5000 0.0000
Sn1 0.0000 0.0000 0.5000
Sn2 0.5000 0.0000 0.0000

***

4.
Computed, not measured: Sr3Ga2Br8 after structural relaxation at the PBE-GGA level of DFT.

Results
Total moment   0.00 μB per formula unit
Energy relative to the elements, uncorrected   -21.0 eV per formula unit
Density of states at the Fermi level   0.000 states/eV/atom

a = 7.8374 Å, b = 8.5909 Å, c = 8.5909 Å
α = 64.50°, β = 85.20°, γ = 85.20°
Fractional coordinates of all 13 atoms:
Br1 0.3463 0.6491 0.1072
Br2 0.8518 0.8892 0.8892
Br3 0.6537 0.3509 0.8928
Br4 0.3463 0.1072 0.6491
Br5 0.1340 0.6138 0.6138
Br6 0.1482 0.1108 0.1108
Br7 0.6537 0.8928 0.3509
Br8 0.8660 0.3862 0.3862
Ga1 0.5559 0.2892 0.2892
Ga2 0.4441 0.7108 0.7108
Sr1 0.5000 0.0000 0.0000
Sr2 0.0000 0.2516 0.7484
Sr3 0.0000 0.7484 0.2516

***

5.
Computed, not measured: SrGa2Br6 after structural relaxation at the PBE-GGA level of DFT.

Results
Total moment   0.00 μB per formula unit
Energy relative to the elements, uncorrected   -11.0 eV per formula unit
Density of states at the Fermi level   0.000 states/eV/atom

a = 7.3668 Å, b = 7.3668 Å, c = 9.1701 Å
α = 66.32°, β = 66.32°, γ = 60.00°
Fractional coordinates of all 9 atoms:
Br1 0.3037 0.5280 0.2596
Br2 0.7033 0.4749 0.7412
Br3 0.5280 0.9088 0.2596
Br4 0.0806 0.7033 0.7412
Br5 0.9088 0.3037 0.2596
Br6 0.4749 0.0806 0.7412
Ga1 0.7160 0.7160 0.8519
Ga2 0.6170 0.6170 0.1490
Sr1 0.3334 0.3334 0.9997

***

6.
Computed, not measured: SrGa2Br6 after structural relaxation at the PBE-GGA level of DFT.

Results
Total moment   0.00 μB per formula unit
Energy relative to the elements, uncorrected   -10.2 eV per formula unit
Density of states at the Fermi level   0.000 states/eV/atom

a = 9.9381 Å, b = 9.9381 Å, c = 7.1444 Å
α = 83.24°, β = 83.24°, γ = 80.43°
Fractional coordinates of all 18 atoms:
Br1 0.7229 0.5935 0.4046
Br2 0.2009 0.0318 0.8734
Br3 0.7991 0.9682 0.1266
Br4 0.5935 0.7229 0.9046
Br5 0.2771 0.4065 0.5954
Br6 0.0318 0.2009 0.3734
Br7 0.1389 0.5973 0.1369
Br8 0.9682 0.7991 0.6266
Br9 0.4065 0.2771 0.0954
Br10 0.4027 0.8611 0.3631
Br11 0.5973 0.1389 0.6369
Br12 0.8611 0.4027 0.8631
Ga1 0.4918 0.3456 0.7563
Ga2 0.6544 0.5082 0.7437
Ga3 0.5082 0.6544 0.2437
Ga4 0.3456 0.4918 0.2563
Sr1 0.9185 0.0815 0.7500
Sr2 0.0815 0.9185 0.2500